--- i ---
CaMgTl2 | Alexandria | GGA-PBEsol | relaxed; magnetization = 0.0 μB/f.u.; volume = 26.6 A^3/atom
1.0
0.000 3.760 3.760
3.760 0.000 3.760
3.760 3.760 0.000
Ca Mg Tl
1 1 2
Direct
0.000 0.000 0.000
0.750 0.750 0.750
0.250 0.250 0.250
0.500 0.500 0.500

---

--- ii ---
CaMgTl2 | Alexandria | GGA-PBEsol | relaxed; magnetization = 0.0 μB/f.u.; volume = 25.3 A^3/atom
1.0
0.000 3.699 3.699
3.699 0.000 3.699
3.699 3.699 0.000
Ca Mg Tl
1 1 2
Direct
0.000 0.000 0.000
0.500 0.500 0.500
0.250 0.250 0.250
0.750 0.750 0.750

---

Result of the stability comparison: ii is the most stable of them.

---

--- i ---
CaMgTl2 | Alexandria | GGA-PBEsol | relaxed; magnetization = 0.0 μB/f.u.; volume = 26.4 A^3/atom
1.0
-2.146 2.416 5.086
2.146 -2.416 5.086
2.146 2.416 -5.086
Ca Mg Tl
1 1 2
Direct
0.000 0.000 0.000
0.742 0.242 0.500
0.254 0.754 0.500
0.503 0.503 0.000

---

--- ii ---
CaMgTl2 | Alexandria | GGA-PBEsol | relaxed; magnetization = 0.0 μB/f.u.; volume = 26.8 A^3/atom
1.0
4.795 -1.787 0.000
4.795 1.787 0.000
-1.236 0.000 6.264
Ca Mg Tl
1 1 2
Direct
0.000 0.000 0.000
0.500 0.500 0.500
0.244 0.244 0.724
0.756 0.756 0.276

---

--- iii ---
CaMgTl2 | Alexandria | GGA-PBEsol | relaxed; magnetization = 0.0 μB/f.u.; volume = 25.7 A^3/atom
1.0
5.073 0.000 0.000
0.000 5.073 0.000
0.000 0.000 3.996
Ca Mg Tl
1 1 2
Direct
0.000 0.000 0.000
0.500 0.500 0.000
0.000 0.500 0.500
0.500 0.000 0.500

---

Result of the stability comparison: iii is the most stable of them.

---

--- i ---
Ca2MgTl | Alexandria | GGA-PBEsol | relaxed; magnetization = 0.0 μB/f.u.; volume = 30.5 A^3/atom
1.0
3.853 0.000 0.000
0.000 3.853 0.000
0.000 0.000 8.214
Ca Mg Tl
2 1 1
Direct
0.000 0.000 0.000
0.500 0.500 0.340
0.000 0.000 0.586
0.500 0.500 0.766

---

--- ii ---
Ca2MgTl | Alexandria | GGA-PBEsol | relaxed; magnetization = 0.0 μB/f.u.; volume = 29.4 A^3/atom
1.0
-1.854 2.765 5.728
1.854 -2.765 5.728
1.854 2.765 -5.728
Ca Mg Tl
2 1 1
Direct
0.000 0.000 0.000
0.708 0.208 0.500
0.267 0.767 0.500
0.471 0.471 0.000

---

Result of the stability comparison: ii is the most stable of them.

---

--- i ---
CaMg2Tl2 | Alexandria | GGA-PBEsol | relaxed; magnetization = 0.0 μB/f.u.; volume = 26.4 A^3/atom
1.0
-2.244 2.244 6.549
2.244 -2.244 6.549
2.244 2.244 -6.549
Ca Mg Tl
1 2 2
Direct
0.000 0.000 0.000
0.250 0.750 0.500
0.750 0.250 0.500
0.390 0.390 0.000
0.610 0.610 0.000

---

--- ii ---
CaMg2Tl2 | Alexandria | GGA-PBEsol | relaxed; magnetization = 0.0 μB/f.u.; volume = 25.8 A^3/atom
1.0
8.611 0.000 0.000
0.000 8.611 0.000
0.000 0.000 3.486
Ca Mg Tl
2 4 4
Direct
0.000 0.000 0.000
0.500 0.500 0.000
0.142 0.358 0.500
0.358 0.858 0.500
0.642 0.142 0.500
0.858 0.642 0.500
0.155 0.655 0.000
0.345 0.155 0.000
0.655 0.845 0.000
0.845 0.345 0.000

---

Result of the stability comparison: i is the most stable of them.

---

--- i ---
CaMg4Zn2 | Alexandria | GGA-PBEsol | relaxed; magnetization = 0.0 μB/f.u.; volume = 21.1 A^3/atom
1.0
-3.646 3.646 2.779
3.646 -3.646 2.779
3.646 3.646 -2.779
Ca Mg Zn
1 4 2
Direct
0.000 0.000 0.000
0.303 0.303 0.607
0.303 0.697 0.000
0.697 0.303 0.000
0.697 0.697 0.393
0.250 0.750 0.500
0.750 0.250 0.500

---

--- ii ---
CaMg4Zn2 | Alexandria | GGA-PBEsol | relaxed; magnetization = 0.0 μB/f.u.; volume = 21.8 A^3/atom
1.0
2.361 1.363 7.909
-2.361 1.363 7.909
0.000 -2.726 7.909
Ca Mg Zn
1 4 2
Direct
0.000 0.000 0.000
0.139 0.139 0.139
0.417 0.417 0.417
0.583 0.583 0.583
0.861 0.861 0.861
0.258 0.258 0.258
0.742 0.742 0.742

---

Result of the stability comparison: ii is the most stable of them.

---

--- i ---
Ca2MgZn | Alexandria | GGA-PBEsol | relaxed; magnetization = 0.0 μB/f.u.; volume = 27.1 A^3/atom
1.0
-1.826 2.705 5.484
1.826 -2.705 5.484
1.826 2.705 -5.484
Ca Mg Zn
2 1 1
Direct
0.000 0.000 0.000
0.702 0.202 0.500
0.285 0.785 0.500
0.475 0.475 0.000

---

--- ii ---
Ca2MgZn | Alexandria | GGA-PBEsol | relaxed; magnetization = 0.0 μB/f.u.; volume = 27.6 A^3/atom
1.0
3.600 0.000 0.000
0.000 3.600 0.000
0.000 0.000 8.508
Ca Mg Zn
2 1 1
Direct
0.000 0.000 0.000
0.500 0.500 0.353
0.000 0.000 0.619
0.500 0.500 0.781

---

--- iii ---
Ca2MgZn | Alexandria | GGA-PBEsol | relaxed; magnetization = 0.0 μB/f.u.; volume = 27.4 A^3/atom
1.0
1.793 -6.492 0.000
1.793 6.492 0.000
0.000 0.000 9.404
Ca Mg Zn
4 2 2
Direct
0.132 0.868 0.560
0.132 0.868 0.940
0.868 0.132 0.060
0.868 0.132 0.440
0.439 0.561 0.750
0.561 0.439 0.250
0.228 0.772 0.250
0.772 0.228 0.750

---

Result of the stability comparison: iii is the most stable of them.

---

--- i ---
Ca2MgZn | Alexandria | GGA-PBEsol | relaxed; magnetization = 0.0 μB/f.u.; volume = 27.3 A^3/atom
1.0
-2.483 2.483 8.851
2.483 -2.483 8.851
2.483 2.483 -8.851
Ca Mg Zn
4 2 2
Direct
0.000 0.500 0.500
0.155 0.155 0.000
0.500 0.000 0.500
0.845 0.845 0.000
0.346 0.346 0.000
0.654 0.654 0.000
0.250 0.750 0.500
0.750 0.250 0.500

---

--- ii ---
Ca2MgZn | Alexandria | GGA-PBEsol | relaxed; magnetization = 0.0 μB/f.u.; volume = 26.7 A^3/atom
1.0
0.000 3.764 3.764
3.764 0.000 3.764
3.764 3.764 0.000
Ca Mg Zn
2 1 1
Direct
0.250 0.250 0.250
0.750 0.750 0.750
0.000 0.000 0.000
0.500 0.500 0.500

---

--- iii ---
Ca2MgZn | Alexandria | GGA-PBEsol | relaxed; magnetization = 0.0 μB/f.u.; volume = 29.4 A^3/atom
1.0
5.407 0.000 0.000
0.000 3.713 0.000
-2.478 0.000 5.858
Ca Mg Zn
2 1 1
Direct
0.000 0.000 0.000
0.000 0.500 0.500
0.500 0.000 0.500
0.500 0.500 0.000

---

Result of the stability comparison: ii is the most stable of them.

---

--- i ---
Ca3Mn2N4 | Alexandria | GGA-PBEsol | relaxed; magnetization = 1.8 μB/f.u.; volume = 13.0 A^3/atom
1.0
5.564 0.000 0.000
0.000 9.418 0.000
0.000 0.000 8.931
Ca Mn N
12 8 16
Direct
0.116 0.157 0.082
0.116 0.343 0.418
0.250 0.000 0.401
0.250 0.500 0.099
0.384 0.657 0.418
0.384 0.843 0.082
0.616 0.157 0.918
0.616 0.343 0.582
0.750 0.000 0.599
0.750 0.500 0.901
0.884 0.657 0.582
0.884 0.843 0.918
0.150 0.250 0.750
0.250 0.000 0.734
0.250 0.500 0.766
0.350 0.750 0.750
0.650 0.250 0.250
0.750 0.000 0.266
0.750 0.500 0.234
0.850 0.750 0.250
0.004 0.085 0.836
0.004 0.415 0.664
0.126 0.644 0.877
0.126 0.856 0.623
0.374 0.144 0.623
0.374 0.356 0.877
0.496 0.585 0.664
0.496 0.915 0.836
0.504 0.085 0.164
0.504 0.415 0.336
0.626 0.644 0.123
0.626 0.856 0.377
0.874 0.144 0.377
0.874 0.356 0.123
0.996 0.585 0.336
0.996 0.915 0.164

---

--- ii ---
Ca3Mn2N4 | Alexandria | GGA-PBEsol | relaxed; magnetization = 1.5 μB/f.u.; volume = 12.5 A^3/atom
1.0
5.263 -4.076 0.000
5.263 4.076 0.000
-0.256 0.000 5.236
Ca Mn N
6 4 8
Direct
0.099 0.901 0.750
0.246 0.515 0.458
0.485 0.754 0.042
0.515 0.246 0.958
0.754 0.485 0.542
0.901 0.099 0.250
0.080 0.332 0.917
0.332 0.080 0.417
0.668 0.920 0.583
0.920 0.668 0.083
0.104 0.232 0.589
0.200 0.557 0.975
0.232 0.104 0.089
0.443 0.800 0.525
0.557 0.200 0.475
0.768 0.896 0.911
0.800 0.443 0.025
0.896 0.768 0.411

---

Result of the stability comparison: i is the most stable of them.